This record from the Alexandria database describes a relaxed Y3Zn2Au4 crystal. The functional is PBE.

Output
* ΔE_f: -639.1 kJ/mol of formula units
* raw total energy: -83.35 eV/cell
* M_tot: 0.000 μB/f.u.

a b c (Å): 3.8448 12.9552 7.7038
angles (deg): 90.00 90.00 90.00
Last column: nearest neighbours and their distance in Å.
Space group Amm2 (No. 38)
Unique sites:
1 Y 0.0000 0.0000 0.0000 [2 per cell]  7 Au 2.99-3.12, 4 Zn 3.33
2 Y 0.0000 0.1901 0.3820 [4 per cell]  7 Au 2.99-3.16, 4 Zn 3.27-3.34
3 Zn 0.5000 0.1297 0.7215 [4 per cell]  4 Au 2.69-2.78
4 Au 0.0000 0.0000 0.6120 [2 per cell]  4 Zn 2.69, 2 Au 2.96, 1 Y 2.99
5 Au 0.5000 0.0000 0.3191 [2 per cell]  4 Au 2.95-2.96, 6 Y 3.12-3.16
6 Au 0.5000 0.1752 0.0744 [4 per cell]  2 Zn 2.77-2.78, 1 Au 2.95, 6 Y 2.99-3.06